VASP calculation (GGA-PBE) on a geometry-optimized K2TaC structure.

a = 12.6159 Å, b = 12.6159 Å, c = 4.0705 Å
α = 90.00°, β = 90.00°, γ = 90.00°
Space group I-42d (No. 122)
One atom of each set of equivalent atoms:
K 0.0258 0.2500 0.1250 x8
Ta 0.0000 0.0000 0.5000 x4
C 0.0000 0.0000 0.0000 x4

## Properties
The value obtained for the formation enthalpy at 0 K is 1.089 eV per atom.


VASP calculation (GGA-PBE) on a geometry-optimized Pu3C structure.

a = 3.5027 Å, b = 3.5971 Å, c = 5.2581 Å
α = 90.00°, β = 90.00°, γ = 90.00°
Space group Pmm2 (No. 25)
One atom of each set of equivalent atoms:
Pu 0.0000 0.0000 0.0000 x1
Pu 0.0000 0.5000 0.4110 x1
Pu 0.5000 0.5000 0.7673 x1
C 0.5000 0.0000 0.3880 x1

## Properties
The value obtained for the formation enthalpy at 0 K is 0.392 eV per atom. The value obtained for the distance to the lowest polymorph of the same formula is 118.7 meV per atom.


VASP calculation (GGA-PBE) on a geometry-optimized Sb2RhAu structure.

a = 3.8844 Å, b = 3.8844 Å, c = 20.9809 Å
α = 90.00°, β = 90.00°, γ = 120.00°
Space group R3m (No. 160, hexagonal axes)
One atom of each set of equivalent atoms:
Sb 0.0000 0.0000 0.0000 x3
Sb 0.0000 0.0000 0.2129 x3
Rh 0.0000 0.0000 0.7285 x3
Au 0.0000 0.0000 0.4723 x3

## Properties
The calculation puts the uncorrected formation energy at -0.043 eV per atom.


VASP calculation (GGA-PBE) on a geometry-optimized PmIr3C structure.

a = 4.2576 Å, b = 4.2576 Å, c = 4.2576 Å
α = 90.00°, β = 90.00°, γ = 90.00°
Space group Pm-3m (No. 221)
One atom of each set of equivalent atoms:
Pm 0.0000 0.0000 0.0000 x1
Ir 0.0000 0.5000 0.5000 x3
C 0.5000 0.5000 0.5000 x1

## Properties
The value obtained for the formation enthalpy at 0 K is -0.107 eV per atom.


VASP calculation (GGA-PBE) on a geometry-optimized SiSn3Pt structure.

a = 5.0627 Å, b = 5.0627 Å, c = 5.0627 Å
α = 90.00°, β = 90.00°, γ = 90.00°
Space group Pm-3m (No. 221)
One atom of each set of equivalent atoms:
Si 0.0000 0.0000 0.0000 x1
Sn 0.0000 0.0000 0.5000 x3
Pt 0.5000 0.5000 0.5000 x1

## Properties
The value obtained for the distance to the lowest polymorph of the same formula is 293.2 meV per atom. The calculation puts the uncorrected formation energy at 0.698 eV per atom.


VASP calculation (GGA-PBE) on a geometry-optimized RbLaCdO3 structure.

a = 6.9625 Å, b = 3.8262 Å, c = 9.7148 Å
α = 90.00°, β = 104.68°, γ = 90.00°
Space group P2_1/m (No. 11)
One atom of each set of equivalent atoms:
Rb 0.1415 0.2500 0.1887 x2
La 0.3744 0.2500 0.8416 x2
Cd 0.1845 0.7500 0.5476 x2
O 0.0436 0.2500 0.6480 x2
O 0.3138 0.7500 0.9881 x2
O 0.4499 0.7500 0.7104 x2

## Properties
The calculation puts the uncorrected formation energy at -2.036 eV per atom.


VASP calculation (GGA-PBE) on a geometry-optimized TaSb2W structure.

a = 3.1210 Å, b = 4.4534 Å, c = 5.8301 Å
α = 90.00°, β = 98.99°, γ = 90.00°
Space group P2/m (No. 10)
One atom of each set of equivalent atoms:
Ta 0.0000 0.0000 0.0000 x1
Sb 0.2855 0.5000 0.7467 x2
W 0.5000 0.0000 0.5000 x1

## Properties
The value obtained for the distance to the lowest polymorph of the same formula is 578.3 meV per atom. The calculation puts the uncorrected formation energy at 0.696 eV per atom.


Number 1: energy -4.729 eV/atom. Number 2: energy -12.663 eV/atom. Number 3: energy -4.761 eV/atom. Number 4: energy -8.218 eV/atom. Number 5: energy -3.996 eV/atom. Number 6: energy -5.650 eV/atom. Number 7: energy -7.566 eV/atom.